Record 1
Material: Ce2USb
Method: DFT, GGA-PBE
State: optimized geometry

## Properties
Crystal system   tetragonal
E_tot   -28.48 eV for the cell shown
Volume   25.49 Å³/atom
Magnetic moment   4.36 μB per cell

Geometry as extended XYZ:
```
4
Lattice="4.740 0.000 0.000 0.000 4.740 0.000 0.000 0.000 4.537" Properties=species:S:1:pos:R:3 pbc="T T T"
Ce 0.000 2.370 0.000
Ce 2.370 0.000 0.000
U 0.000 0.000 2.269
Sb 2.370 2.370 2.269
```

Record 2
Material: Ta3TiRu3
Method: DFT, GGA-PBE
State: optimized geometry

## Properties
Crystal system   orthorhombic
Formation energy   -202.7 meV/atom
E_tot   -145.40 eV for the cell shown
Volume   16.84 Å³/atom
Magnetic moment   0.00 μB per cell

Geometry as extended XYZ:
```
14
Lattice="4.275 -4.497 0.000 4.275 4.497 0.000 0.000 0.000 6.134" Properties=species:S:1:pos:R:3 pbc="T T T"
Ta 4.275 2.398 0.000
Ta 2.247 0.000 3.067
Ta 2.643 0.000 0.000
Ta 5.906 0.000 0.000
Ta 6.302 0.000 3.067
Ta 4.275 -2.398 0.000
Ti 4.275 2.133 3.067
Ti 4.275 -2.133 3.067
Ru 0.000 0.000 1.582
Ru 0.000 0.000 4.552
Ru 2.137 2.248 1.556
Ru 2.137 2.248 4.578
Ru 2.137 -2.248 1.556
Ru 2.137 -2.248 4.578
```

Record 3
Material: Dy2Ga8Co
Method: DFT, GGA-PBE
State: optimized geometry

## Properties
Crystal system   tetragonal
Formation energy   -489.0 meV/atom
E_tot   -45.90 eV for the cell shown
Volume   18.13 Å³/atom
Magnetic moment   0.00 μB per cell

Geometry as extended XYZ:
```
11
Lattice="4.236 0.000 0.000 0.000 4.236 0.000 0.000 0.000 11.117" Properties=species:S:1:pos:R:3 pbc="T T T"
Dy 0.000 0.000 2.166
Dy 0.000 0.000 8.951
Ga 0.000 2.118 0.000
Ga 0.000 2.118 4.274
Ga 0.000 2.118 6.843
Ga 2.118 0.000 0.000
Ga 2.118 0.000 4.274
Ga 2.118 0.000 6.843
Ga 2.118 2.118 2.155
Ga 2.118 2.118 8.962
Co 0.000 0.000 5.558
```

Record 4
Material: Ca2TbCuO4
Method: DFT, GGA-PBE
State: optimized geometry

## Properties
Crystal system   monoclinic
E_tot   -52.36 eV for the cell shown
Volume   13.52 Å³/atom
Magnetic moment   0.07 μB per cell

Geometry as extended XYZ:
```
8
Lattice="5.750 0.000 0.000 0.000 3.403 0.000 -2.017 0.000 5.528" Properties=species:S:1:pos:R:3 pbc="T T T"
Ca 0.000 0.000 0.000
Ca 2.875 1.702 0.000
Tb -1.008 1.702 2.764
Cu 1.867 0.000 2.764
O -0.179 0.000 4.139
O 0.871 1.702 1.383
O 2.862 1.702 4.145
O 3.913 0.000 1.389
```

Record 5
Material: SrCdPCl2
Method: DFT, GGA-PBE
State: optimized geometry

## Properties
Crystal system   tetragonal
E_tot   -14.44 eV for the cell shown
Volume   38.69 Å³/atom
Magnetic moment   1.98 μB per cell

Geometry as extended XYZ:
```
5
Lattice="5.539 0.000 0.000 0.000 5.539 0.000 0.000 0.000 6.307" Properties=species:S:1:pos:R:3 pbc="T T T"
Sr 0.000 0.000 0.000
Cd 2.769 2.769 3.154
P 0.000 0.000 3.154
Cl 0.000 2.769 0.000
Cl 2.769 0.000 0.000
```

Record 6
Material: In2SnPd
Method: DFT, GGA-PBE
State: optimized geometry

## Properties
Crystal system   tetragonal
Formation energy   -188.5 meV/atom
E_tot   -15.43 eV for the cell shown
Volume   22.52 Å³/atom
Magnetic moment   0.00 μB per cell

Geometry as extended XYZ:
```
4
Lattice="3.270 0.000 0.000 0.000 3.270 0.000 0.000 0.000 8.424" Properties=species:S:1:pos:R:3 pbc="T T T"
In 0.000 0.000 1.708
In 0.000 0.000 6.716
Sn 1.635 1.635 4.212
Pd 1.635 1.635 0.000
```